{
  "formula": "SrNiAsH2",
  "functional": "GGA-PBE",
  "state": "relaxed",
  "polymorph_energy_ev_per_atom": 0.000,
  "total_magnetization_mub_per_cell": 0.0,
  "dos_at_fermi_per_ev_atom": 0.2890,
  "final_energy_ev_per_atom": -4.20,
  "lattice": [[-0.863, -2.780, -2.576], [5.665, 1.487, -0.570], [1.580, -4.400, 4.218]],
  "species": ["Sr", "Sr", "Ni", "Ni", "As", "As", "H", "H", "H", "H"],
  "frac_coords": [[0.709, 0.418, 0.750], [0.291, 0.582, 0.250], [0.000, 0.000, 0.000], [0.000, 0.000, 0.500], [0.438, 0.876, 0.750], [0.562, 0.124, 0.250], [0.140, 0.279, 0.958], [0.860, 0.721, 0.042], [0.140, 0.279, 0.542], [0.860, 0.721, 0.458]]
}